Entry 1:
Below is a relaxed ScBe2Cr crystal, with properties calculated at the PBE-GGA level.

Results
Calculated volume ... 12.79 Å³ per atom
Formation energy ... 44 meV/atom
Distance to the lowest polymorph of the same formula ... 0.000 eV per atom

abc: 2.9882 2.9882 5.7274
angles: 90.00 90.00 90.00
Positions (direct):
Sc 0.0000 0.0000 0.0000
Be 0.5000 0.5000 0.3054
Be 0.5000 0.5000 0.6946
Cr 0.0000 0.0000 0.5000

Entry 2:
Below is a relaxed K2NaBeTc crystal, with properties calculated at the PBE-GGA level.

Results
Calculated volume ... 36.20 Å³ per atom
Formation energy ... 960 meV/atom
Distance to the lowest polymorph of the same formula ... 0.000 eV per atom

abc: 6.4129 6.4129 4.4015
angles: 90.00 90.00 90.00
Positions (direct):
K 0.0000 0.5000 0.0000
K 0.5000 0.0000 0.0000
Na 0.0000 0.0000 0.5000
Be 0.5000 0.5000 0.0000
Tc 0.5000 0.5000 0.5000

Entry 3:
Below is a relaxed PmZr4In5 crystal, with properties calculated at the PBE-GGA level.

Results
Calculated volume ... 23.19 Å³ per atom
Formation energy ... -325 meV/atom

abc: 3.2197 3.2197 22.3716
angles: 90.00 90.00 90.00
Positions (direct):
Pm 0.0000 0.0000 0.0000
Zr 0.0000 0.0000 0.2092
Zr 0.0000 0.0000 0.4027
Zr 0.0000 0.0000 0.5973
Zr 0.0000 0.0000 0.7908
In 0.5000 0.5000 0.1113
In 0.5000 0.5000 0.3060
In 0.5000 0.5000 0.5000
In 0.5000 0.5000 0.6940
In 0.5000 0.5000 0.8887

Entry 4:
Below is a relaxed IrW2Au crystal, with properties calculated at the PBE-GGA level.

Results
Calculated volume ... 16.32 Å³ per atom
Formation energy ... 624 meV/atom
Distance to the lowest polymorph of the same formula ... 0.523 eV per atom

abc: 6.3923 6.3923 6.3923
angles: 90.00 90.00 90.00
Positions (direct):
Ir 0.0000 0.0000 0.0000
Ir 0.0000 0.5000 0.5000
Ir 0.5000 0.0000 0.5000
Ir 0.5000 0.5000 0.0000
W 0.2500 0.2500 0.2500
W 0.2500 0.2500 0.7500
W 0.2500 0.7500 0.2500
W 0.2500 0.7500 0.7500
W 0.7500 0.2500 0.2500
W 0.7500 0.2500 0.7500
W 0.7500 0.7500 0.2500
W 0.7500 0.7500 0.7500
Au 0.0000 0.0000 0.5000
Au 0.0000 0.5000 0.0000
Au 0.5000 0.0000 0.0000
Au 0.5000 0.5000 0.5000

Entry 5:
Below is a relaxed Pm8Nd4Sc crystal, with properties calculated at the PBE-GGA level.

Results
Calculated volume ... 34.84 Å³ per atom
Formation energy ... 162 meV/atom

abc: 6.6036 6.6036 11.6887
angles: 100.50 100.50 110.37
Positions (direct):
Pm 0.1053 0.5791 0.1791
Pm 0.1241 0.1241 0.3004
Pm 0.3186 0.3186 0.6990
Pm 0.4209 0.8947 0.8209
Pm 0.5791 0.1053 0.1791
Pm 0.6814 0.6814 0.3010
Pm 0.8759 0.8759 0.6996
Pm 0.8947 0.4209 0.8209
Nd 0.0000 0.0000 0.0000
Nd 0.0000 0.5000 0.5000
Nd 0.5000 0.0000 0.5000
Nd 0.5000 0.5000 0.0000
Sc 0.5000 0.5000 0.5000

Entry 6:
Below is a relaxed Na17Tl11Ge crystal, with properties calculated at the PBE-GGA level.

Results
Calculated volume ... 29.12 Å³ per atom
Formation energy ... -99 meV/atom

abc: 10.3417 10.3417 10.2526
angles: 109.34 109.34 109.70
Positions (direct):
Na 0.0000 0.0000 0.0000
Na 0.0076 0.0076 0.6085
Na 0.0266 0.6117 0.0261
Na 0.0458 0.7473 0.7420
Na 0.3263 0.3263 0.6715
Na 0.3339 0.9187 0.6439
Na 0.3364 0.6429 0.9193
Na 0.3383 0.6679 0.3364
Na 0.3401 0.3401 0.3388
Na 0.6117 0.0266 0.0261
Na 0.6416 0.9144 0.3385
Na 0.6429 0.3364 0.9193
Na 0.6679 0.3383 0.3364
Na 0.7473 0.0458 0.7420
Na 0.7469 0.7469 0.0536
Na 0.9144 0.6416 0.3385
Na 0.9187 0.3339 0.6439
Tl 0.1425 0.5253 0.5264
Tl 0.1428 0.9511 0.3355
Tl 0.1456 0.3339 0.9518
Tl 0.3332 0.9509 0.1409
Tl 0.3339 0.1456 0.9518
Tl 0.5253 0.1425 0.5264
Tl 0.5287 0.7164 0.7097
Tl 0.5348 0.5348 0.1581
Tl 0.7164 0.5287 0.7097
Tl 0.9511 0.1428 0.3355
Tl 0.9509 0.3332 0.1409
Ge 0.7000 0.7000 0.5234

Entry 7:
Below is a relaxed BaBi2HAu crystal, with properties calculated at the PBE-GGA level.

Results
Calculated volume ... 58.29 Å³ per atom
E ... -2.118 eV/atom

abc: 6.8086 6.8086 6.2867
angles: 90.00 90.00 90.00
Positions (direct):
Ba 0.0000 0.0000 0.0000
Bi 0.0000 0.5000 0.0000
Bi 0.5000 0.0000 0.0000
H 0.5000 0.5000 0.5000
Au 0.0000 0.0000 0.5000

Entry 8:
Below is a relaxed Ce2MgZn3 crystal, with properties calculated at the PBE-GGA level.

Results
Calculated volume ... 21.07 Å³ per atom
Formation energy ... -218 meV/atom
Distance to the lowest polymorph of the same formula ... 0.000 eV per atom

abc: 5.8226 5.8226 8.6106
angles: 90.00 90.00 120.00
Positions (direct):
Ce 0.3333 0.6667 0.0873
Ce 0.3333 0.6667 0.4127
Ce 0.6667 0.3333 0.5873
Ce 0.6667 0.3333 0.9127
Mg 0.0000 0.0000 0.0000
Mg 0.0000 0.0000 0.5000
Zn 0.1779 0.3558 0.7500
Zn 0.1779 0.8221 0.7500
Zn 0.3558 0.1779 0.2500
Zn 0.6442 0.8221 0.7500
Zn 0.8221 0.1779 0.2500
Zn 0.8221 0.6442 0.2500

Entry 9:
Below is a relaxed Nd6DyHoSc2 crystal, with properties calculated at the PBE-GGA level.

Results
Calculated volume ... 32.48 Å³ per atom
Formation energy ... 125 meV/atom

abc: 8.8037 8.8037 9.5756
angles: 94.36 94.36 117.77
Positions (direct):
Nd 0.0104 0.5605 0.1841
Nd 0.1095 0.7625 0.5523
Nd 0.2375 0.8905 0.9477
Nd 0.2994 0.5047 0.3818
Nd 0.4395 0.9896 0.3159
Nd 0.4953 0.7006 0.1182
Nd 0.5047 0.2994 0.8818
Nd 0.5605 0.0104 0.6841
Nd 0.7006 0.4953 0.6182
Nd 0.7625 0.1095 0.0523
Nd 0.8905 0.2375 0.4477
Nd 0.9896 0.4395 0.8159
Dy 0.0285 0.9715 0.2500
Dy 0.9715 0.0285 0.7500
Ho 0.4086 0.5914 0.7500
Ho 0.5914 0.4086 0.2500
Sc 0.1976 0.2947 0.0484
Sc 0.2947 0.1976 0.5484
Sc 0.7053 0.8024 0.4516
Sc 0.8024 0.7053 0.9516

Entry 10:
Below is a relaxed AcLa2HoP4 crystal, with properties calculated at the PBE-GGA level.

Results
Calculated volume ... 27.23 Å³ per atom
Formation energy ... -1512 meV/atom

abc: 7.3601 4.2583 7.3688
angles: 90.00 109.40 90.00
Positions (direct):
Ac 0.0000 0.0000 0.0000
La 0.5000 0.0000 0.5000
La 0.5000 0.5000 0.0000
Ho 0.0000 0.5000 0.5000
P 0.2435 0.0000 0.7372
P 0.2514 0.5000 0.2622
P 0.7486 0.5000 0.7378
P 0.7565 0.0000 0.2628

Entry 11:
Below is a relaxed Ba2TlCu2 crystal, with properties calculated at the PBE-GGA level.

Results
Calculated volume ... 34.23 Å³ per atom
Formation energy ... 119 meV/atom

abc: 9.3195 9.3195 3.9408
angles: 90.00 90.00 90.00
Positions (direct):
Ba 0.1745 0.3255 0.0000
Ba 0.3255 0.8255 0.0000
Ba 0.6745 0.1745 0.0000
Ba 0.8255 0.6745 0.0000
Tl 0.0000 0.0000 0.0000
Tl 0.5000 0.5000 0.0000
Cu 0.0974 0.5974 0.5000
Cu 0.4026 0.0974 0.5000
Cu 0.5974 0.9026 0.5000
Cu 0.9026 0.4026 0.5000

Entry 12:
Below is a relaxed LaUS2N crystal, with properties calculated at the PBE-GGA level.

Results
Calculated volume ... 22.02 Å³ per atom
Formation energy without anion corrections ... -844.7 kJ/mol of formula units

abc: 3.9003 3.9003 14.4722
angles: 90.00 90.00 90.00
Positions (direct):
La 0.2500 0.2500 0.1281
La 0.7500 0.7500 0.8719
U 0.2500 0.2500 0.5798
U 0.7500 0.7500 0.4202
S 0.2500 0.2500 0.3205
S 0.2500 0.2500 0.9130
S 0.7500 0.7500 0.0870
S 0.7500 0.7500 0.6795
N 0.2500 0.7500 0.5000
N 0.7500 0.2500 0.5000